[1]
Computed, not measured: an optimized crystal structure of NiGeSe3 at the PBEsol level of DFT.

Results
Raw formation energy, eV/atom: 0.241
Total magnetic moment, μB per formula unit: 0.0

a b c (Å): 4.639 4.639 4.639
angles (deg): 90.00 90.00 90.00
Fractional positions:
Ni: 0.000 0.000 0.000
Ge: 0.500 0.500 0.500
Se: 0.000 0.500 0.000
Se: 0.000 0.000 0.500
Se: 0.500 0.000 0.000

***

[2]
Computed, not measured: an optimized crystal structure of Si3NiGe at the PBEsol level of DFT.

Results
Raw formation energy, eV/atom: 0.377
Total magnetic moment, μB per formula unit: 0.0

a b c (Å): 4.359 4.359 4.359
angles (deg): 90.00 90.00 90.00
Fractional positions:
Ni: 0.000 0.000 0.000
Ge: 0.500 0.500 0.500
Si: 0.000 0.500 0.000
Si: 0.000 0.000 0.500
Si: 0.500 0.000 0.000

***

[3]
Computed, not measured: an optimized crystal structure of SiNi6Ge at the PBEsol level of DFT.

Results
Raw formation energy, eV/atom: -0.437
Total magnetic moment, μB per formula unit: 0.0

a b c (Å): 3.490 3.490 6.983
angles (deg): 90.00 90.00 90.00
Fractional positions:
Si: 0.000 0.000 0.500
Ni: 0.500 0.500 0.000
Ni: 0.500 0.500 0.500
Ni: 0.500 0.000 0.256
Ni: 0.500 0.000 0.744
Ni: 0.000 0.500 0.256
Ni: 0.000 0.500 0.744
Ge: 0.000 0.000 0.000

***

[4]
Computed, not measured: an optimized crystal structure of SrNi3Ge2 at the PBEsol level of DFT.

Results
Total magnetic moment, μB per formula unit: 0.0
ΔE_f, eV per atom: -0.49

a b c (Å): 4.003 4.003 13.999
angles (deg): 90.00 90.00 120.00
Fractional positions:
Sr: 0.000 0.000 0.750
Sr: 0.000 0.000 0.250
Ni: 0.000 0.000 0.000
Ni: 0.000 0.000 0.500
Ni: 0.333 0.667 0.073
Ni: 0.667 0.333 0.573
Ni: 0.333 0.667 0.427
Ni: 0.667 0.333 0.927
Ge: 0.333 0.667 0.904
Ge: 0.667 0.333 0.096
Ge: 0.667 0.333 0.404
Ge: 0.333 0.667 0.596

***

[5]
Computed, not measured: an optimized crystal structure of SrNi3Ge at the PBEsol level of DFT.

Results
Total magnetic moment, μB per formula unit: 0.0
ΔE_f, eV per atom: 1.78

a b c (Å): 4.619 4.619 4.619
angles (deg): 90.00 90.00 90.00
Fractional positions:
Sr: 0.000 0.000 0.000
Ge: 0.500 0.500 0.500
Ni: 0.000 0.500 0.000
Ni: 0.000 0.000 0.500
Ni: 0.500 0.000 0.000

***

[6]
Computed, not measured: an optimized crystal structure of Ta2Ni3Ge at the PBEsol level of DFT.

Results
Total magnetic moment, μB per formula unit: 0.0
ΔE_f, eV per atom: -0.38

a b c (Å): 4.839 4.839 7.677
angles (deg): 90.00 90.00 120.00
Fractional positions:
Ni: 0.829 0.171 0.750
Ni: 0.657 0.829 0.250
Ni: 0.171 0.829 0.250
Ni: 0.829 0.657 0.750
Ni: 0.171 0.343 0.250
Ni: 0.343 0.171 0.750
Ge: 0.000 0.000 0.500
Ge: 0.000 0.000 0.000
Ta: 0.333 0.667 0.558
Ta: 0.667 0.333 0.442
Ta: 0.667 0.333 0.058
Ta: 0.333 0.667 0.942

***

What is the total magnetic moment in the fourth record? 0.0 μB per formula unit